1.
AcCoB2Os PBE relaxed; E_form = -384 meV/atom; DOS(E_F) = 3.59 states/eV/cell
1.0
3.854 0.000 0.000
0.000 3.854 0.000
0.000 0.000 10.632
Ac Co B Os
2 2 4 2
direct
0.000 0.000 0.000
0.500 0.500 0.500
0.000 0.500 0.250
0.500 0.000 0.750
0.000 0.000 0.323
0.000 0.000 0.677
0.500 0.500 0.177
0.500 0.500 0.823
0.000 0.500 0.750
0.500 0.000 0.250

---

2.
InFe2N2 PBE relaxed; DOS(E_F) = 8.46 states/eV/cell; energy relative to the elements, uncorrected = 0.13 eV/atom
1.0
2.982 0.000 0.000
-1.491 2.583 0.000
0.000 0.000 24.372
In Fe N
3 6 6
direct
0.000 0.000 0.000
0.333 0.667 0.667
0.667 0.333 0.333
0.000 0.000 0.207
0.000 0.000 0.793
0.333 0.667 0.459
0.333 0.667 0.874
0.667 0.333 0.126
0.667 0.333 0.541
0.000 0.000 0.103
0.000 0.000 0.897
0.333 0.667 0.563
0.333 0.667 0.770
0.667 0.333 0.230
0.667 0.333 0.437

---

3.
PmPrRhPb PBE relaxed; E_form = -429 meV/atom; DOS(E_F) = 14.29 states/eV/cell
1.0
7.523 0.000 0.000
0.000 7.523 0.000
0.000 0.000 7.523
Pm Pr Rh Pb
4 4 4 4
direct
0.000 0.000 0.000
0.000 0.500 0.500
0.500 0.000 0.500
0.500 0.500 0.000
0.000 0.000 0.500
0.000 0.500 0.000
0.500 0.000 0.000
0.500 0.500 0.500
0.250 0.250 0.250
0.250 0.750 0.750
0.750 0.250 0.750
0.750 0.750 0.250
0.250 0.250 0.750
0.250 0.750 0.250
0.750 0.250 0.250
0.750 0.750 0.750

---

4.
Sm6SbAs3P2 PBE relaxed; DOS(E_F) = 1.69 states/eV/cell; energy relative to the elements, uncorrected = -1.46 eV/atom
1.0
9.195 -2.108 0.000
9.195 2.108 0.000
-1.917 0.000 8.244
Sm Sb As P
6 1 3 2
direct
0.003 0.003 0.264
0.328 0.328 0.908
0.331 0.331 0.420
0.669 0.669 0.580
0.672 0.672 0.092
0.997 0.997 0.736
0.500 0.500 0.000
0.165 0.165 0.832
0.500 0.500 0.500
0.835 0.835 0.168
0.168 0.168 0.336
0.832 0.832 0.664

---

Question: DOS(E_F) of number 4 (Sm6SbAs3P2)?
Answer: 1.69 states/eV/cell